The following is a DFT calculation (PBE-GGA) of AcPuSi after structural relaxation.

* DOS at the Fermi energy: 10.165 states/eV per cell
* M_tot: 6.92 μB/f.u.
* calculated volume: 31.7 Å³ per atom
* mass density: 8.7 g/cm3
* E above lowest polymorph: 293 meV per atom
* space-group type: F-43m (216)
* uncorrected formation energy: -0.0932 eV/atom

Unit cell a=5.123 b=5.123 c=5.123 alpha=60.00 beta=60.00 gamma=60.00
Last column: magnetic moment on the atom in μB.
Atoms (fractional coordinates):
1 Ac 0.500 0.500 0.500  -0.25
2 Si 0.250 0.250 0.250  0.09
3 Pu 0.000 0.000 0.000  -5.70